A plane-wave DFT calculation with GGA-PBE was carried out for a relaxed structure of PrCuHg5.

Output
Calculated density ... 11.7 Mg/m³
Electronic total energy ... -1.672 eV/atom
Formation energy from the elements ... -188 meV/atom
Size of the total moment ... 0.000 μB per cell

Lattice parameters (Å, degrees): 4.760 4.760 7.573 90.00 90.00 90.00
Positions (direct):
Pr 0.000 0.000 0.000
Cu 0.000 0.000 0.500
Hg 0.000 0.500 0.302
Hg 0.000 0.500 0.698
Hg 0.500 0.000 0.302
Hg 0.500 0.000 0.698
Hg 0.500 0.500 0.000